1.
First-principles (PBE-GGA) data for an optimized crystal structure of Fe3CoIr6, as listed in Alexandria. Values from VASP.

Computed properties:
ΔE_f (eV per atom): -0.026
SG: No. 11

Geometry as Quantum ESPRESSO input:
```
&SYSTEM
  ibrav = 0, nat = 20, ntyp = 3
/
ATOMIC_SPECIES
Fe 55.84 Fe.upf
Co 58.93 Co.upf
Ir 192.22 Ir.upf
ATOMIC_POSITIONS angstrom
Fe 1.070 3.620 1.998
Fe 3.209 2.637 4.909
Fe 1.070 2.152 6.349
Fe 3.209 4.105 0.558
Fe 1.070 4.713 7.220
Fe 3.209 1.544 -0.313
Co 1.070 6.195 2.807
Co 3.209 0.062 4.099
Ir 1.070 3.053 -0.590
Ir 3.209 3.204 7.497
Ir 1.070 1.046 1.132
Ir 3.209 5.211 5.775
Ir 1.070 4.146 4.595
Ir 3.209 2.111 2.311
Ir 1.070 1.577 3.828
Ir 3.209 4.680 3.078
Ir 1.070 5.593 0.304
Ir 3.209 0.664 6.602
Ir 1.070 0.199 8.115
Ir 3.209 6.058 -1.209
CELL_PARAMETERS angstrom
4.278 0.000 0.000
0.000 6.581 -2.696
0.000 -0.325 9.603
```

2.
First-principles (PBE-GGA) data for an optimized crystal structure of FeCo2Ir3, as listed in Alexandria. Values from VASP.

Computed properties:
ΔE_f (eV per atom): 0.010
SG: No. 65

Geometry as Quantum ESPRESSO input:
```
&SYSTEM
  ibrav = 0, nat = 12, ntyp = 3
/
ATOMIC_SPECIES
Fe 55.84 Fe.upf
Co 58.93 Co.upf
Ir 192.22 Ir.upf
ATOMIC_POSITIONS angstrom
Fe 1.883 1.845 0.009
Fe 3.766 3.807 0.017
Co 0.000 0.000 0.000
Co -0.017 0.000 3.608
Co 1.866 1.892 3.616
Co 3.749 3.759 3.625
Ir 3.741 1.883 5.409
Ir 1.874 0.000 1.833
Ir 1.873 3.768 1.833
Ir 3.756 1.883 1.841
Ir 1.858 3.768 5.400
Ir 1.858 0.000 5.400
CELL_PARAMETERS angstrom
3.766 0.000 0.017
1.883 5.651 0.009
-0.034 0.000 7.216
```